Crystalline CoMoPt2 at its relaxed geometry. Source: Alexandria, functional PBE.

ΔH_f (0 K) (eV per atom): -0.132
Energy above the most stable polymorph in this dataset (meV/atom): 62

Unit cell a=2.7304 b=2.7304 c=7.7362 alpha=90.00 beta=90.00 gamma=90.01
Atoms (fractional coordinates):
1 Mo 0.5000 0.5000 0.7324
2 Co 0.0000 0.0000 0.5050
3 Pt 0.5000 0.5000 0.2701
4 Pt 0.0000 0.0000 0.9924

Crystalline Cs3Pa5O12 at its relaxed geometry. Source: Alexandria, functional PBE.

ΔE_f (raw) (eV/atom): -2.923

Unit cell a=12.9018 b=12.9018 c=12.9018 alpha=109.47 beta=109.47 gamma=109.47
Atoms (fractional coordinates):
1 O 0.1785 0.1032 0.0020
2 Cs 0.6250 0.3750 0.7500
3 O 0.1011 0.4247 0.1032
4 O 0.8235 0.3215 0.9247
5 Pa 0.0000 0.5000 0.0000
6 O 0.0753 0.1785 0.1765
7 Pa 0.5000 0.0000 0.0000
8 Cs 0.6250 0.2500 0.3750
9 O 0.0020 0.3989 0.3235
10 O 0.8235 0.5020 0.3989
11 O 0.8968 0.0753 0.8989
12 Cs 0.1250 0.8750 0.7500
13 Pa 0.0000 0.0000 0.0000
14 O 0.3235 0.4247 0.8215
15 Pa 0.3750 0.1250 0.7500
16 O 0.8989 0.5753 0.8968
17 O 0.1785 0.0753 0.6765
18 O 0.9247 0.8215 0.8235
19 Pa 0.6250 0.8750 0.2500
20 Pa 0.5000 0.5000 0.0000
21 Pa 0.5000 0.0000 0.5000
22 O 0.4247 0.3235 0.3215
23 Pa 0.7500 0.1250 0.8750
24 O 0.1765 0.4980 0.6011
25 Cs 0.1250 0.2500 0.8750
26 Cs 0.7500 0.3750 0.1250
27 O 0.9247 0.1032 0.6011
28 O 0.8215 0.9247 0.3235
29 Pa 0.6250 0.7500 0.8750
30 O 0.6032 0.6011 0.4247
31 O 0.5753 0.6765 0.6785
32 O 0.1032 0.1785 0.5020
33 O 0.9980 0.3968 0.8215
34 O 0.4980 0.1765 0.1011
35 Pa 0.0000 0.5000 0.5000
36 O 0.6785 0.5020 0.6032
37 O 0.6011 0.6032 0.9247
38 Cs 0.8750 0.7500 0.1250
39 O 0.6765 0.5753 0.1785
40 O 0.4980 0.3215 0.8968
41 O 0.1011 0.6765 0.4980
42 O 0.4247 0.1011 0.6032
43 Pa 0.0000 0.0000 0.5000
44 O 0.1032 0.9247 0.1011
45 O 0.0020 0.6032 0.1785
46 Pa 0.5000 0.5000 0.5000
47 Pa 0.2500 0.8750 0.1250
48 O 0.3235 0.8989 0.0020
49 Cs 0.3750 0.7500 0.6250
50 Pa 0.1250 0.3750 0.2500
51 Pa 0.8750 0.2500 0.6250
52 O 0.0753 0.8968 0.3989
53 O 0.8215 0.8968 0.9980
54 Cs 0.8750 0.1250 0.2500
55 O 0.5020 0.6785 0.1032
56 O 0.3215 0.8235 0.4247
57 Cs 0.7500 0.8750 0.6250
58 O 0.3989 0.3968 0.0753
59 O 0.5753 0.8989 0.3968
60 O 0.5020 0.8235 0.8989
61 Pa 0.7500 0.6250 0.3750
62 O 0.3968 0.3989 0.5753
63 O 0.1765 0.6785 0.0753
64 O 0.3989 0.0020 0.8235
65 O 0.3968 0.9980 0.3215
66 O 0.3215 0.4980 0.3968
67 O 0.8968 0.8215 0.4980
68 Cs 0.2500 0.1250 0.3750
69 O 0.6011 0.9980 0.1765
70 Pa 0.8750 0.6250 0.7500
71 O 0.9980 0.6011 0.6765
72 O 0.6032 0.0020 0.6785
73 Pa 0.1250 0.7500 0.3750
74 Cs 0.3750 0.6250 0.2500
75 O 0.6785 0.1765 0.5753
76 Pa 0.2500 0.3750 0.6250
77 O 0.8989 0.3235 0.5020
78 Pa 0.3750 0.2500 0.1250
79 O 0.6765 0.1011 0.9980
80 Cs 0.2500 0.6250 0.8750

Crystalline Pm2Ga3SbRh4 at its relaxed geometry. Source: Alexandria, functional PBE.

ΔE_f (raw) (eV/atom): -0.797

Unit cell a=4.4127 b=4.4127 c=9.9373 alpha=90.00 beta=90.00 gamma=90.00
Atoms (fractional coordinates):
1 Rh 0.5000 0.5000 0.0000
2 Rh 0.0000 0.0000 0.0000
3 Sb 0.5000 0.5000 0.5000
4 Ga 0.0000 0.5000 0.1204
5 Rh 0.5000 0.0000 0.6333
6 Rh 0.0000 0.5000 0.3667
7 Pm 0.5000 0.0000 0.2350
8 Pm 0.0000 0.5000 0.7650
9 Ga 0.0000 0.0000 0.5000
10 Ga 0.5000 0.0000 0.8796

Crystalline MgSb2RuPb at its relaxed geometry. Source: Alexandria, functional PBE.

Energy above the most stable polymorph in this dataset (meV/atom): 1366
ΔE_f (raw) (eV/atom): 1.517

Unit cell a=5.8004 b=5.1156 c=5.8004 alpha=90.00 beta=90.00 gamma=90.00
Atoms (fractional coordinates):
1 Sb 0.0000 0.0000 0.5000
2 Mg 0.0000 0.5000 0.0000
3 Ru 0.5000 0.5000 0.5000
4 Sb 0.5000 0.0000 0.0000
5 Pb 0.0000 0.0000 0.0000

Crystalline NbNi3Bi at its relaxed geometry. Source: Alexandria, functional PBE.

ΔH_f (0 K) (eV per atom): 0.979
Energy above the most stable polymorph in this dataset (meV/atom): 0

Unit cell a=4.6150 b=4.6150 c=4.6150 alpha=90.00 beta=90.00 gamma=90.00
Atoms (fractional coordinates):
1 Ni 0.5000 0.0000 0.0000
2 Nb 0.0000 0.0000 0.0000
3 Ni 0.0000 0.5000 0.0000
4 Bi 0.5000 0.5000 0.5000
5 Ni 0.0000 0.0000 0.5000

Crystalline YNbTeN2 at its relaxed geometry. Source: Alexandria, functional PBE.

Energy above the most stable polymorph in this dataset (meV/atom): 0
ΔE_f (raw) (eV/atom): -0.212

Unit cell a=4.1665 b=4.1665 c=5.5441 alpha=90.00 beta=90.00 gamma=90.00
Atoms (fractional coordinates):
1 N 0.5000 0.0000 0.0000
2 Nb 0.0000 0.0000 0.0000
3 Y 0.5000 0.5000 0.5000
4 Te 0.0000 0.0000 0.5000
5 N 0.0000 0.5000 0.0000

Which E_tot belongs to each record? In order, -0.2806, -0.3087, -0.2208, -0.1120, -0.1940, -0.2748 hartree per atom.